# 1
First-principles (GGA-PBE) data for an optimized crystal structure of RbPdCl3, as listed in Alexandria via LeMat-Bulk.

CIF file:
```
data_RbPdCl3
_chemical_formula_sum 'Rb2 Pd2 Cl6'
_space_group_name_H-M_alt 'P 1'
_space_group_IT_number 1
_space_group_name_Hall 'P 1'
_cell_length_a 10.5001
_cell_length_b 10.5001
_cell_length_c 5.9873
_cell_angle_alpha 90.00
_cell_angle_beta 90.00
_cell_angle_gamma 154.06
loop_
_atom_site_label
_atom_site_type_symbol
_atom_site_fract_x
_atom_site_fract_y
_atom_site_fract_z
_atom_site_occupancy
Rb1 Rb 0.1496 0.8504 0.2500 1
Rb2 Rb 0.8504 0.1496 0.7500 1
Pd1 Pd 0.4966 0.5034 0.2500 1
Pd2 Pd 0.5034 0.4966 0.7500 1
Cl1 Cl 0.0622 0.4394 0.2500 1
Cl2 Cl 0.5606 0.9378 0.2500 1
Cl3 Cl 0.4394 0.0622 0.7500 1
Cl4 Cl 0.9378 0.5606 0.7500 1
Cl5 Cl 0.0000 0.0000 0.0000 1
Cl6 Cl 0.0000 0.0000 0.5000 1
```

=====

# 2
First-principles (GGA-PBE) data for an optimized crystal structure of RbPdCl3, as listed in Alexandria via LeMat-Bulk.

CIF file:
```
data_RbPdCl3
_chemical_formula_sum 'Rb2 Pd2 Cl6'
_space_group_name_H-M_alt 'P 1'
_space_group_IT_number 1
_space_group_name_Hall 'P 1'
_cell_length_a 6.6675
_cell_length_b 7.1743
_cell_length_c 6.9461
_cell_angle_alpha 70.16
_cell_angle_beta 87.83
_cell_angle_gamma 86.42
loop_
_atom_site_label
_atom_site_type_symbol
_atom_site_fract_x
_atom_site_fract_y
_atom_site_fract_z
_atom_site_occupancy
Pd1 Pd 0.5189 0.2256 0.7880 1
Pd2 Pd 0.0222 0.0028 0.7995 1
Rb1 Rb 0.3086 0.5319 0.1152 1
Rb2 Rb 0.7265 0.8538 0.4460 1
Cl1 Cl 0.2099 0.8112 0.6383 1
Cl2 Cl 0.8243 0.1995 0.9487 1
Cl3 Cl 0.3674 0.0666 0.1046 1
Cl4 Cl 0.2112 0.2759 0.6273 1
Cl5 Cl 0.6693 0.3802 0.4685 1
Cl6 Cl 0.8387 0.7298 0.9798 1
```

=====

# 3
First-principles (GGA-PBE) data for an optimized crystal structure of RbPdCl, as listed in Alexandria via LeMat-Bulk.

CIF file:
```
data_RbPdCl
_chemical_formula_sum 'Rb2 Pd2 Cl2'
_space_group_name_H-M_alt 'P 1'
_space_group_IT_number 1
_space_group_name_Hall 'P 1'
_cell_length_a 16.1332
_cell_length_b 8.4928
_cell_length_c 8.4928
_cell_angle_alpha 145.47
_cell_angle_beta 155.75
_cell_angle_gamma 24.25
loop_
_atom_site_label
_atom_site_type_symbol
_atom_site_fract_x
_atom_site_fract_y
_atom_site_fract_z
_atom_site_occupancy
Rb1 Rb 0.1298 0.3621 0.6379 1
Rb2 Rb 0.1619 0.0617 0.9383 1
Pd1 Pd 0.6067 0.3191 0.6809 1
Pd2 Pd 0.0825 0.7675 0.2325 1
Cl1 Cl 0.6014 0.1819 0.8181 1
Cl2 Cl 0.5976 0.4728 0.5272 1
```

Output
Excess energy over the best structure of this formula in the dataset, meV per atom: 22

=====

# 4
First-principles (GGA-PBE) data for an optimized crystal structure of RbPdCl, as listed in Alexandria via LeMat-Bulk.

CIF file:
```
data_RbPdCl
_chemical_formula_sum 'Rb2 Pd2 Cl2'
_space_group_name_H-M_alt 'P 1'
_space_group_IT_number 1
_space_group_name_Hall 'P 1'
_cell_length_a 10.3360
_cell_length_b 4.9719
_cell_length_c 9.4251
_cell_angle_alpha 74.67
_cell_angle_beta 109.67
_cell_angle_gamma 43.86
loop_
_atom_site_label
_atom_site_type_symbol
_atom_site_fract_x
_atom_site_fract_y
_atom_site_fract_z
_atom_site_occupancy
Pd1 Pd 0.2952 0.8016 0.3635 1
Pd2 Pd 0.7952 0.8016 0.8635 1
Rb1 Rb 0.3099 0.4049 0.1139 1
Rb2 Rb 0.2806 0.1978 0.6134 1
Cl1 Cl 0.7741 0.7035 0.1129 1
Cl2 Cl 0.8162 0.8998 0.6141 1
```

Output
Excess energy over the best structure of this formula in the dataset, meV per atom: 0

=====

no.,E_form (uncorrected) (eV per atom),density (kg/m3)
1,-0.5358,3430
2,-1.0788,3176
3,-0.7771,3849
4,-0.7994,3797